[1]
Entry from Alexandria: crystalline TaPt2Se at its relaxed geometry (PBE-GGA).

```
4
Lattice="4.540 -1.435 0.000 4.540 1.435 0.000 -1.422 0.000 6.372" Properties=species:S:1:pos:R:3 pbc="T T T"
Ta 0.000 0.000 0.000
Pt 1.075 0.000 5.454
Pt 3.562 0.000 4.107
Se 5.177 0.000 2.108
```

**M_tot**: 0.000 μB/cell
**D(E_F)**: 0.491 states/eV/atom
**ΔE_f (raw)**: -0.234 eV/atom
**Symmetry**: Cm (8)

***

[2]
Entry from Alexandria: crystalline Rb2HgSe2 at its relaxed geometry (PBE-GGA).

```
5
Lattice="-2.076 2.076 10.748 2.076 -2.076 10.748 2.076 2.076 -10.748" Properties=species:S:1:pos:R:3 pbc="T T T"
Rb 0.000 0.000 2.681
Rb 0.000 0.000 18.815
Hg 0.000 0.000 10.748
Se 2.076 0.000 5.374
Se 0.000 2.076 5.374
```

**M_tot**: 0.000 μB/cell
**D(E_F)**: 0.401 states/eV/atom
**ΔE_f (raw)**: -0.410 eV/atom
**Symmetry**: I4/mmm (139)

***

[3]
Entry from Alexandria: crystalline AgTe2O4 at its relaxed geometry (PBE-GGA).

```
14
Lattice="6.107 0.000 0.000 -2.642 6.688 0.000 -2.765 -2.621 6.278" Properties=species:S:1:pos:R:3 pbc="T T T"
Ag 0.000 0.000 0.000
Ag 0.231 -1.000 5.284
Te -2.609 1.952 5.893
Te -1.022 3.192 3.141
Te 1.858 2.461 2.203
Te 3.182 -0.442 2.448
O -3.333 3.413 4.941
O -0.879 5.356 1.449
O 1.150 2.107 0.469
O -1.108 1.753 4.502
O -0.522 4.683 4.262
O 1.681 0.772 3.215
O 1.579 5.324 0.775
O 3.546 1.236 1.502
```

**M_tot**: 0.000 μB/cell
**ΔE_f (raw)**: -0.678 eV/atom
**Symmetry**: P1 (1)

***

[4]
Entry from Alexandria: crystalline La2Pm4Y at its relaxed geometry (PBE-GGA).

```
14
Lattice="7.197 0.000 0.000 -1.795 8.620 0.000 -1.809 -4.162 7.887" Properties=species:S:1:pos:R:3 pbc="T T T"
La 0.000 0.000 0.000
La -1.756 1.480 6.823
La 1.823 -1.482 5.709
La 3.589 6.336 2.355
Pm -1.766 4.116 4.628
Pm 0.008 0.917 3.509
Pm 0.015 6.373 2.341
Pm 1.811 3.183 1.139
Pm 1.791 1.516 6.854
Pm 3.616 0.981 3.548
Pm 5.429 3.233 1.146
Pm 5.406 -1.559 5.703
Y 3.630 0.029 0.039
Y 1.800 4.088 4.645
```

**M_tot**: 0.000 μB/cell
**Formation energy from the elements**: 1.09 kcal/mol of atoms
**D(E_F)**: 1.492 states/eV/atom
**Symmetry**: P1 (1)
**ΔE to the lowest computed polymorph**: 0 meV per atom

***

[5]
Entry from Alexandria: crystalline NaGeF3 at its relaxed geometry (PBE-GGA).

```
10
Lattice="5.435 0.000 0.000 -2.716 4.708 0.000 -2.711 -1.566 7.018" Properties=species:S:1:pos:R:3 pbc="T T T"
Na -1.355 0.787 3.486
Na 1.363 2.356 3.532
Ge -1.353 3.926 1.182
Ge 1.361 -0.783 5.836
F -2.164 2.559 2.212
F -0.230 -0.765 4.808
F 0.584 0.605 2.210
F -0.576 2.538 4.808
F 0.238 3.908 2.210
F 2.172 0.584 4.806
```

**M_tot**: 0.000 μB/cell
**D(E_F)**: 0.000 states/eV/atom
**ΔE_f (raw)**: -2.428 eV/atom
**Symmetry**: P-1 (2)
**ΔE to the lowest computed polymorph**: 9 meV per atom

***

[6]
Entry from Alexandria: crystalline Pa2InSn at its relaxed geometry (PBE-GGA).

```
4
Lattice="4.634 0.000 0.000 0.000 4.634 0.000 0.000 0.000 4.702" Properties=species:S:1:pos:R:3 pbc="T T T"
Pa 0.000 2.317 0.000
Pa 2.317 0.000 0.000
In 0.000 0.000 2.351
Sn 2.317 2.317 2.351
```

**M_tot**: 1.352 μB/cell
**Formation energy from the elements**: -1.98 kcal/mol of atoms
**D(E_F)**: 1.992 states/eV/atom
**Symmetry**: P4/mmm (123)
**ΔE to the lowest computed polymorph**: 0 meV per atom